[1]
The following is a DFT calculation (GGA-PBE) of a geometry-optimized Mn2BeCo structure.

Values from the calculation:
DOS(E_F) = 4.625 states/eV per cell
Energy of formation from the pure elements = 0.043 eV per atom

Structure (POSCAR):
```
Mn2BeCo
1.0
2.407 -0.006 0.000
-0.860 2.248 0.000
0.000 0.000 7.673
Mn Co Be
2 1 1
Direct
0.000 0.000 0.001
0.500 0.500 0.260
0.500 0.500 0.735
0.000 0.000 0.503
```

=====

[2]
The following is a DFT calculation (GGA-PBE) of a geometry-optimized Mn2BeCo structure.

Values from the calculation:
DOS(E_F) = 3.698 states/eV per cell
Energy of formation from the pure elements = -0.087 eV per atom

Structure (POSCAR):
```
Mn2BeCo
1.0
2.783 0.000 0.000
0.000 2.783 0.000
0.000 0.000 5.306
Co Mn Be
1 2 1
Direct
0.500 0.500 0.728
0.000 0.000 0.002
0.500 0.500 0.259
0.000 0.000 0.511
```

=====

[3]
The following is a DFT calculation (GGA-PBE) of a geometry-optimized MnBeCo2 structure.

Values from the calculation:
DOS(E_F) = 4.358 states/eV per cell
Energy of formation from the pure elements = -0.037 eV per atom

Structure (POSCAR):
```
MnBeCo2
1.0
-4.215 -0.709 -0.989
-3.082 -3.107 -0.303
-2.387 -0.206 3.219
Co Be Mn
2 1 1
Direct
0.509 0.509 0.489
0.991 0.991 0.011
0.250 0.250 0.250
0.750 0.750 0.750
```

=====

[4]
The following is a DFT calculation (GGA-PBE) of a geometry-optimized MnBeCo2 structure.

Values from the calculation:
DOS(E_F) = 3.227 states/eV per cell
Energy of formation from the pure elements = -0.017 eV per atom

Structure (POSCAR):
```
MnBeCo2
1.0
-1.575 3.504 0.796
-3.448 0.224 1.859
-0.152 1.287 3.703
Co Be Mn
2 1 1
Direct
0.000 0.000 0.000
0.250 0.250 0.250
0.500 0.500 0.500
0.750 0.750 0.750
```